A relaxed structure of AcDyN, computed with PBE.

Lattice parameters (Å, degrees): 3.405 3.405 7.604 102.94 102.94 90.00
Atoms (fractional coordinates):
Ac 0.291 0.291 0.582
Dy 0.589 0.589 0.178
N 0.120 0.120 0.239

Offset from the most stable computed form, eV/atom: 0.226
Total energy, eV/f.u.: -18.8